No. 1
A relaxed structure of Rb2TaIF6. Source: the Alexandria database, functional PBE.

Structure (POSCAR):
```
Rb2TaIF6
1.0
-0.9739 -7.3370 0.5453
3.3326 -0.9303 -6.5655
5.8175 -4.5697 -0.5940
F Rb I Ta
6 2 1 1
direct
0.8168 0.1832 0.0000
0.1832 0.1832 0.0000
0.1832 0.1832 0.6335
0.8168 0.8168 0.0000
0.8168 0.8168 0.3665
0.1832 0.8168 0.0000
0.2500 0.7500 0.5000
0.7500 0.2500 0.5000
0.5000 0.5000 0.0000
0.0000 0.0000 0.0000
```

Computed properties:
Total DFT energy (no corrections)   -54.03 eV per formula unit

No. 2
A relaxed structure of Rb3TaI2F6. Source: the Alexandria database, functional PBE.

Structure (POSCAR):
```
Rb3TaI2F6
1.0
-3.4384 3.9250 2.1834
1.6673 -2.7282 7.5300
6.1997 6.5350 -3.4488
F Rb I Ta
6 3 2 1
direct
0.7363 0.8364 0.0126
0.7363 0.1762 0.0126
0.2637 0.1636 0.9874
0.2637 0.8238 0.9874
0.4933 0.1112 0.2223
0.5067 0.8888 0.7777
0.5000 0.0000 0.5000
0.0000 0.5000 0.0000
0.5000 0.5000 0.5000
0.0108 0.3014 0.6028
0.9892 0.6986 0.3972
0.5000 0.0000 0.0000
```

Computed properties:
Total DFT energy (no corrections)   -60.75 eV per formula unit

No. 3
A relaxed structure of Rb2TcIF6. Source: the Alexandria database, functional PBE.

Structure (POSCAR):
```
Rb2TcIF6
1.0
7.1096 0.0000 0.0000
0.0000 7.1096 0.0000
3.5548 3.5548 5.0199
F Tc I Rb
6 1 1 2
direct
0.3061 0.3061 0.3878
0.6936 0.3064 0.0000
0.3064 0.3064 0.0000
0.6939 0.6939 0.6122
0.3064 0.6936 0.0000
0.6936 0.6936 0.0000
0.5000 0.5000 0.0000
0.0000 0.0000 0.0000
0.7500 0.2500 0.5000
0.2500 0.7500 0.5000
```

Computed properties:
Total DFT energy (no corrections)   -45.98 eV per formula unit

No. 4
A relaxed structure of Rb2TcI6F. Source: the Alexandria database, functional PBE.

Structure (POSCAR):
```
Rb2TcI6F
1.0
8.5867 0.0000 0.0000
0.0000 8.5867 0.0000
4.2934 4.2934 5.2413
Rb I F Tc
2 6 1 1
direct
0.7500 0.2500 0.5000
0.2500 0.7500 0.5000
0.2257 0.7743 0.0000
0.2680 0.2680 0.4641
0.7320 0.7320 0.5359
0.7743 0.2257 0.0000
0.2257 0.2257 0.0000
0.7743 0.7743 0.0000
0.5000 0.5000 0.0000
0.0000 0.0000 0.0000
```

Computed properties:
Total DFT energy (no corrections)   -30.86 eV per formula unit

No. 5
A relaxed structure of Rb2TeI6F. Source: the Alexandria database, functional PBE.

Structure (POSCAR):
```
Rb2TeI6F
1.0
-7.2257 -3.0555 1.9430
2.9572 -7.4823 -0.7690
-0.5307 -5.2509 6.5785
I Te Rb F
6 1 2 1
direct
0.2388 0.2388 0.5223
0.7422 0.7422 0.0000
0.2578 0.7422 0.0000
0.2578 0.2578 0.0000
0.7612 0.7612 0.4777
0.7422 0.2578 0.0000
0.0000 0.0000 0.0000
0.7500 0.2500 0.5000
0.2500 0.7500 0.5000
0.5000 0.5000 0.0000
```

Computed properties:
Total DFT energy (no corrections)   -23.95 eV per formula unit

No. 6
A relaxed structure of RbTe2IF. Source: the Alexandria database, functional PBE.

Structure (POSCAR):
```
RbTe2IF
1.0
-3.9680 -2.2404 1.7041
2.6683 -3.9318 1.0439
1.3740 2.7375 6.7986
I Te Rb F
1 2 1 1
direct
0.0000 0.0000 0.5000
0.5000 0.0000 0.0000
0.0000 0.5000 0.0000
0.5000 0.5000 0.5000
0.0000 0.0000 0.0000
```

Computed properties:
Total DFT energy (no corrections)   -13.59 eV per formula unit

No. 7
A relaxed structure of Rb2TeIF6. Source: the Alexandria database, functional PBE.

Structure (POSCAR):
```
Rb2TeIF6
1.0
-4.7183 -2.2789 5.0462
-2.4691 -5.0682 -4.5975
-0.1434 -6.9420 1.9744
F Te I Rb
6 1 1 2
direct
0.3009 0.6991 0.0000
0.3009 0.3009 0.0000
0.6991 0.3009 0.0000
0.6991 0.6991 0.0000
0.2977 0.2977 0.4045
0.7023 0.7023 0.5955
0.5000 0.5000 0.0000
0.0000 0.0000 0.0000
0.7500 0.2500 0.5000
0.2500 0.7500 0.5000
```

Computed properties:
Total DFT energy (no corrections)   -38.19 eV per formula unit

No. 8
A relaxed structure of Rb2TeI2F4. Source: the Alexandria database, functional PBE.

Structure (POSCAR):
```
Rb2TeI2F4
1.0
7.1598 -0.2252 -0.3553
-3.0822 6.4663 0.3553
-3.0822 -2.4388 5.9993
I Rb F Te
2 2 4 1
direct
0.0000 0.6911 0.6911
0.0000 0.3089 0.3089
0.5000 0.2500 0.7500
0.5000 0.7500 0.2500
0.6052 0.8026 0.8026
0.3948 0.1974 0.1974
0.0000 0.1974 0.8026
0.0000 0.8026 0.1974
0.0000 0.0000 0.0000
```

Computed properties:
Total DFT energy (no corrections)   -32.24 eV per formula unit

No. 9
A relaxed structure of Rb2TiIF6. Source: the Alexandria database, functional PBE.

Structure (POSCAR):
```
Rb2TiIF6
1.0
-6.7811 0.8868 -2.2609
2.0143 -1.6922 -6.7053
-3.2516 -4.8469 -3.6223
F Rb I Ti
6 2 1 1
direct
0.6851 0.3149 0.0000
0.7065 0.7065 0.5870
0.6851 0.6851 0.0000
0.3149 0.3149 0.0000
0.3149 0.6851 0.0000
0.2935 0.2935 0.4130
0.7500 0.2500 0.5000
0.2500 0.7500 0.5000
0.0000 0.0000 0.0000
0.5000 0.5000 0.0000
```

Computed properties:
Total DFT energy (no corrections)   -49.83 eV per formula unit

No. 10
A relaxed structure of Rb2TiI6F. Source: the Alexandria database, functional PBE.

Structure (POSCAR):
```
Rb2TiI6F
1.0
-7.5269 -2.1998 0.7807
2.0471 -4.9544 5.7764
-3.6179 0.9002 7.4299
Ti I Rb F
1 6 2 1
direct
0.0000 0.0000 0.0000
0.7518 0.2482 0.0000
0.2482 0.2482 0.0000
0.7739 0.7739 0.4522
0.2261 0.2261 0.5478
0.2482 0.7518 0.0000
0.7518 0.7518 0.0000
0.7500 0.2500 0.5000
0.2500 0.7500 0.5000
0.5000 0.5000 0.0000
```

Computed properties:
Total DFT energy (no corrections)   -30.95 eV per formula unit

No. 11
A relaxed structure of Rb2TiI4F2. Source: the Alexandria database, functional PBE.

Structure (POSCAR):
```
Rb2TiI4F2
1.0
-5.6819 2.5665 2.9730
-2.6505 -1.6424 -6.8142
-1.9889 -7.1843 -0.7656
I Ti F Rb
4 1 2 2
direct
0.7672 0.8586 0.3406
0.2328 0.6594 0.1414
0.7672 0.3406 0.8586
0.2328 0.1414 0.6594
0.5000 0.0000 0.0000
0.3949 0.1234 0.1234
0.6051 0.8766 0.8766
0.3372 0.6602 0.6602
0.6628 0.3398 0.3398
```

Computed properties:
Total DFT energy (no corrections)   -35.82 eV per formula unit

No. 12
A relaxed structure of Rb2TlI2F2. Source: the Alexandria database, functional PBE.

Structure (POSCAR):
```
Rb2TlI2F2
1.0
-0.4409 -4.3545 2.4343
4.2318 -1.6206 -2.1325
2.9905 6.4445 6.9176
I Tl Rb F
2 1 2 2
direct
0.1690 0.1690 0.3380
0.8310 0.8310 0.6620
0.0000 0.0000 0.0000
0.6069 0.6069 0.2139
0.3931 0.3931 0.7861
0.5000 0.0000 0.0000
0.0000 0.5000 0.0000
```

Computed properties:
Total DFT energy (no corrections)   -22.76 eV per formula unit

No. 13
A relaxed structure of Rb2TlIF6. Source: the Alexandria database, functional PBE.

Structure (POSCAR):
```
Rb2TlIF6
1.0
-5.6695 -0.5366 3.3260
3.2862 -2.3153 5.2281
-0.5342 4.0225 6.2767
I Tl F Rb
1 1 6 2
direct
0.5000 0.5000 0.0000
0.0000 0.0000 0.0000
0.2793 0.2793 0.0000
0.7785 0.7785 0.4431
0.7207 0.2793 0.0000
0.2793 0.7207 0.0000
0.2215 0.2215 0.5569
0.7207 0.7207 0.0000
0.7500 0.2500 0.5000
0.2500 0.7500 0.5000
```

Computed properties:
Total DFT energy (no corrections)   -36.42 eV per formula unit

No. 14
A relaxed structure of RbTlIF. Source: the Alexandria database, functional PBE.

Structure (POSCAR):
```
RbTlIF
1.0
-1.8485 -4.0596 -0.0708
4.7012 0.7211 -0.7209
-1.3219 1.3366 8.6964
I Rb Tl F
1 1 1 1
direct
0.1084 0.8828 0.1030
0.0487 0.5229 0.4436
0.2681 0.3341 0.8457
0.4527 0.2911 0.5774
```

Computed properties:
Total DFT energy (no corrections)   -13.05 eV per formula unit

No. 15
A relaxed structure of RbTlI2F. Source: the Alexandria database, functional PBE.

Structure (POSCAR):
```
RbTlI2F
1.0
-4.6535 4.2499 0.1034
-3.6968 -4.1212 3.0128
1.5872 1.6361 4.1855
Tl F I Rb
1 1 2 1
direct
0.0000 0.0000 0.0000
0.0000 0.0000 0.5000
0.5000 0.0000 0.0000
0.0000 0.5000 0.0000
0.5000 0.5000 0.5000
```

Computed properties:
Distance to the lowest polymorph of the same formula   0.0 meV per atom

No. 16
A relaxed structure of RbTlI2F8. Source: the Alexandria database, functional PBE.

Structure (POSCAR):
```
RbTlI2F8
1.0
6.2566 0.0000 0.0000
3.1283 5.5696 1.3419
3.1283 3.5723 8.5162
Tl F Rb I
1 8 1 2
direct
0.0000 0.0000 0.0000
0.2687 0.1506 0.8081
0.2626 0.1990 0.2757
0.7313 0.8494 0.1919
0.7112 0.3202 0.2575
0.2273 0.8494 0.1919
0.7374 0.8010 0.7243
0.7727 0.1506 0.8081
0.2888 0.6798 0.7425
0.5000 0.5000 0.5000
0.7086 0.5935 0.9892
0.2914 0.4065 0.0108
```

Computed properties:
Total DFT energy (no corrections)   -39.91 eV per formula unit

No. 17
A relaxed structure of RbTlI2F. Source: the Alexandria database, functional PBE.

Structure (POSCAR):
```
RbTlI2F
1.0
5.9476 0.0000 0.0000
0.0000 10.2116 0.0000
0.0000 0.0000 5.9476
I Tl F Rb
2 1 1 1
direct
0.5000 0.0000 0.0000
0.0000 0.0000 0.5000
0.0000 0.0000 0.0000
0.5000 0.5000 0.5000
0.0000 0.5000 0.0000
```

Computed properties:
Distance to the lowest polymorph of the same formula   510.5 meV per atom

No. 18
A relaxed structure of Rb2TlI6F. Source: the Alexandria database, functional PBE.

Structure (POSCAR):
```
Rb2TlI6F
1.0
8.2633 0.0000 0.0000
0.0000 8.2633 0.0000
4.1316 4.1316 5.8423
I Tl Rb F
6 1 2 1
direct
0.2562 0.2562 0.0000
0.2562 0.7438 0.0000
0.7441 0.7441 0.5118
0.2559 0.2559 0.4882
0.7438 0.2562 0.0000
0.7438 0.7438 0.0000
0.0000 0.0000 0.0000
0.2500 0.7500 0.5000
0.7500 0.2500 0.5000
0.5000 0.5000 0.0000
```

Computed properties:
Total DFT energy (no corrections)   -22.50 eV per formula unit

no.,magnetization (μB/f.u.)
1,0.00
2,0.00
3,2.00
4,3.03
5,0.00
6,0.00
7,0.00
8,0.00
9,1.00
10,0.00
11,0.00
12,0.00
13,0.00
14,0.00
15,0.00
16,0.00
17,0.08
18,0.00